## one
Crystalline Dy2Y3Sc2 at its relaxed geometry. Source: the Alexandria database, functional GGA-PBE.

```
Dy2Y3Sc2
1.0
3.434 0.000 0.000
0.000 5.165 0.793
0.000 0.818 11.881
Dy Y Sc
2 3 2
Cartesian
1.717 1.824 5.332
1.717 4.159 7.343
1.717 2.316 2.130
1.717 3.667 10.545
0.000 0.000 0.000
0.000 1.354 8.393
0.000 4.629 4.282
```

Output
DOS at the Fermi energy (states/eV/f.u.): 13.56

## two
Crystalline Dy2Y3Sc2 at its relaxed geometry. Source: the Alexandria database, functional GGA-PBE.

```
Dy2Y3Sc2
1.0
3.410 0.000 0.000
0.000 8.373 -0.681
-1.705 -3.512 7.697
Dy Y Sc
2 3 2
Cartesian
1.705 3.233 5.063
0.000 1.627 1.953
0.000 4.186 -0.340
0.000 5.241 2.719
1.705 -0.380 4.297
1.705 7.172 0.369
0.000 -2.312 6.646
```

Output
DOS at the Fermi energy (states/eV/f.u.): 12.52

It is two that is the least stable of them.

## one
Crystalline Dy4YSc2 at its relaxed geometry. Source: the Alexandria database, functional GGA-PBE.

```
Dy4YSc2
1.0
8.355 1.140 3.024
0.160 8.160 -1.117
-2.335 -5.163 5.986
Dy Y Sc
8 2 4
Cartesian
7.055 1.267 3.924
4.917 3.974 3.818
4.623 1.650 6.440
5.026 -1.609 7.289
2.124 7.224 0.579
1.803 5.029 3.142
2.242 1.658 4.065
7.673 6.194 3.735
-0.952 2.707 3.262
1.547 2.413 0.733
1.914 -0.577 6.558
4.356 -0.949 4.016
2.326 -3.845 7.514
-0.509 -0.518 4.199
```

Output
DOS at the Fermi energy (states/eV/f.u.): 12.39

## two
Crystalline Dy4YSc2 at its relaxed geometry. Source: the Alexandria database, functional GGA-PBE.

```
Dy4YSc2
1.0
-2.466 -2.573 -4.229
4.907 -7.298 1.578
-6.315 -3.048 5.537
Dy Y Sc
8 2 4
Cartesian
-1.822 -2.203 2.403
0.414 -8.143 4.712
-4.740 -3.995 1.578
0.865 -8.924 1.308
-5.103 -6.664 3.413
1.228 -6.255 -0.528
1.073 -3.299 1.381
-2.481 -7.047 5.734
-1.233 -1.286 -2.115
-0.704 -5.173 3.557
-4.194 -3.852 4.789
2.785 -6.495 2.326
-2.203 -8.415 2.788
-1.671 -4.504 0.098
```

Output
DOS at the Fermi energy (states/eV/f.u.): 9.52

It is two that is the least stable of them.

## one
Crystalline Dy2Y5Sc4 at its relaxed geometry. Source: the Alexandria database, functional GGA-PBE.

```
Dy2Y5Sc4
1.0
3.511 0.000 0.000
0.000 8.661 -1.096
0.000 0.456 10.771
Dy Y Sc
2 5 4
Cartesian
0.000 8.167 2.903
0.000 0.950 6.772
0.000 4.330 -0.548
0.000 1.327 1.268
0.000 7.789 8.407
0.000 4.879 3.008
0.000 4.237 6.667
1.755 2.149 9.141
1.755 6.967 0.534
1.755 2.309 4.318
1.755 6.807 5.358
```

Output
DOS at the Fermi energy (states/eV/f.u.): 16.37

## two
Crystalline Dy2Y5Sc4 at its relaxed geometry. Source: the Alexandria database, functional GGA-PBE.

```
Dy2Y5Sc4
1.0
-0.347 -0.960 3.381
-2.118 -8.135 -2.526
9.539 -5.322 -2.377
Dy Y Sc
2 5 4
Cartesian
0.793 -3.708 0.873
6.281 -10.708 -2.395
1.392 -10.055 -2.711
5.682 -4.362 1.189
4.005 -8.979 -0.293
-0.173 -0.480 1.691
3.069 -5.438 -1.229
0.939 -7.888 -0.298
-0.461 -5.501 -1.609
6.135 -6.529 -1.224
7.535 -8.916 0.087
```

Output
DOS at the Fermi energy (states/eV/f.u.): 17.08

It is one that is the least stable of them.

## one
Crystalline Dy12YSc7 at its relaxed geometry. Source: the Alexandria database, functional GGA-PBE.

```
Dy12YSc7
1.0
-7.679 0.820 -4.697
-1.164 -6.416 6.260
1.606 7.832 4.218
Dy Y Sc
12 1 7
Cartesian
-5.533 3.412 0.887
-5.303 -0.332 0.061
-2.730 2.236 -0.247
-7.037 0.895 2.513
-2.078 4.315 2.302
-4.588 4.088 4.345
-2.650 -1.853 1.435
-5.160 -2.080 3.478
-0.200 1.340 3.267
-4.507 0.000 6.027
-1.935 2.567 5.720
-1.704 -1.177 4.893
0.000 0.000 0.000
-1.596 -4.270 3.811
-2.144 0.881 8.524
-8.179 -2.456 2.258
-3.619 1.118 2.890
0.942 4.691 3.522
-5.093 1.354 -2.743
-5.642 6.505 1.969
```

Output
DOS at the Fermi energy (states/eV/f.u.): 38.63

## two
Crystalline Dy12YSc7 at its relaxed geometry. Source: the Alexandria database, functional GGA-PBE.

```
Dy12YSc7
1.0
8.940 0.000 -3.161
-4.470 7.743 -3.161
0.000 0.000 9.483
Dy Y Sc
12 1 7
Cartesian
0.971 5.721 3.163
5.635 5.721 -3.022
3.499 2.022 -0.002
-1.165 2.022 6.183
6.607 0.002 0.139
4.472 3.701 3.159
-2.137 7.740 3.022
-0.001 4.041 0.002
3.301 5.723 -0.139
1.169 2.020 3.300
5.440 2.020 6.320
-0.970 5.723 -3.159
0.000 0.000 0.000
2.235 3.871 -3.161
-2.235 3.871 3.161
4.470 0.000 3.161
2.235 3.871 1.580
0.000 0.000 4.741
4.470 0.000 -1.580
-2.235 3.871 -1.580
```

Output
DOS at the Fermi energy (states/eV/f.u.): 32.38

It is two that is the least stable of them.

## one
Crystalline Dy3Y4Sc2 at its relaxed geometry. Source: the Alexandria database, functional GGA-PBE.

```
Dy3Y4Sc2
1.0
-3.581 -5.565 -1.796
4.713 -5.159 6.608
-3.347 -0.740 8.985
Dy Y Sc
6 8 4
Cartesian
-2.447 -5.203 1.374
-1.558 -9.044 11.526
0.232 -6.261 12.424
-0.657 -2.421 2.272
-0.212 -4.341 7.348
-2.003 -7.123 6.450
1.594 -7.298 6.363
-0.240 -9.887 4.955
-3.810 -4.167 7.434
-1.975 -1.577 8.842
-0.941 -1.238 5.720
-2.294 -5.904 9.804
-1.274 -10.227 8.077
0.079 -5.561 3.993
-2.624 -4.002 4.554
-3.937 -8.843 9.100
0.409 -7.462 9.244
1.722 -2.621 4.697
```

Output
DOS at the Fermi energy (states/eV/f.u.): 16.01

## two
Crystalline Dy3Y4Sc2 at its relaxed geometry. Source: the Alexandria database, functional GGA-PBE.

```
Dy3Y4Sc2
1.0
5.867 0.089 0.490
0.646 9.290 3.534
0.255 -0.261 9.953
Dy Y Sc
6 8 4
Cartesian
1.274 8.868 10.269
2.673 2.982 1.598
5.493 0.250 3.709
4.094 6.136 12.380
1.874 3.484 7.574
4.894 5.633 6.404
3.364 0.374 8.617
6.040 1.523 10.490
3.404 8.744 5.361
0.728 7.595 3.488
4.325 7.525 9.285
5.458 3.648 3.586
2.442 1.593 4.692
1.309 5.470 10.392
1.729 6.741 7.374
2.209 4.886 4.643
5.038 2.377 6.604
4.558 4.232 9.335
```

Output
DOS at the Fermi energy (states/eV/f.u.): 15.80

It is two that is the least stable of them.

## one
Crystalline Dy4Y2Sc at its relaxed geometry. Source: the Alexandria database, functional GGA-PBE.

```
Dy4Y2Sc
1.0
-2.792 4.614 1.071
-9.597 -4.419 -5.981
-4.505 -5.316 11.157
Dy Y Sc
16 8 4
Cartesian
-9.751 -6.352 1.958
-10.548 -3.282 0.765
-9.316 -1.391 9.918
-4.173 0.782 -0.145
-7.143 1.231 4.290
-6.346 -1.840 5.483
-7.578 -3.731 -3.670
-12.721 -5.903 6.393
-7.248 0.358 7.775
-6.241 -0.967 1.998
-9.897 -7.217 5.299
-10.402 -2.418 -2.576
-9.646 -5.480 -1.528
-10.653 -4.155 4.250
-6.998 2.095 0.949
-6.492 -2.703 8.824
-12.754 -8.611 3.856
-7.545 -1.024 -1.133
-9.888 -0.778 5.793
-3.602 0.170 3.980
-4.140 3.489 2.392
-9.349 -4.097 7.381
-7.007 -4.343 0.455
-13.292 -5.292 2.267
-2.253 -2.658 5.579
-8.447 -2.561 3.124
-4.799 -2.210 -2.990
-1.396 2.307 0.536
```

Output
DOS at the Fermi energy (states/eV/f.u.): 10.66

## two
Crystalline Dy4Y2Sc at its relaxed geometry. Source: the Alexandria database, functional GGA-PBE.

```
Dy4Y2Sc
1.0
-3.729 1.980 -4.458
3.501 -3.226 -4.361
-4.493 -9.743 3.600
Dy Y Sc
8 4 2
Cartesian
-1.937 -3.130 -4.071
-1.438 -10.807 -0.328
-3.284 -0.182 -4.891
-0.226 -4.707 -6.203
-4.822 -4.541 -2.901
-4.496 -6.281 0.983
-2.785 -7.858 -1.148
0.100 -6.448 -2.318
-4.167 -10.916 -2.438
-0.555 -0.072 -2.781
-2.092 -4.343 -0.857
-2.629 -6.646 -4.363
1.286 -3.707 -3.393
-6.008 -7.281 -1.826
```

Output
DOS at the Fermi energy (states/eV/f.u.): 11.79

It is one that is the least stable of them.

## one
Crystalline Dy5YSc4 at its relaxed geometry. Source: the Alexandria database, functional GGA-PBE.

```
Dy5YSc4
1.0
-3.270 -1.170 -0.226
1.140 -2.880 -1.586
2.347 -10.610 20.948
Dy Y Sc
5 1 4
Cartesian
-0.810 -3.176 1.366
-0.350 -5.257 5.474
0.109 -7.330 9.568
0.567 -9.403 13.661
1.028 -11.484 17.769
0.000 0.000 0.000
0.485 -2.190 4.325
0.944 -4.268 8.426
1.403 -6.342 12.522
1.862 -8.420 16.623
```

Output
DOS at the Fermi energy (states/eV/f.u.): 16.54

## two
Crystalline Dy5YSc4 at its relaxed geometry. Source: the Alexandria database, functional GGA-PBE.

```
Dy5YSc4
1.0
7.739 0.000 0.000
0.000 8.727 0.000
0.000 0.000 8.722
Dy Y Sc
10 2 8
Cartesian
1.555 7.047 7.042
1.555 1.681 7.042
7.738 4.364 0.000
1.555 7.047 1.681
1.555 1.681 1.681
6.185 6.045 2.681
6.185 2.683 2.681
0.001 0.000 4.361
6.185 2.683 6.042
6.185 6.045 6.042
6.795 0.000 0.000
0.944 4.364 4.361
4.535 0.000 6.365
4.532 6.383 0.000
4.532 2.344 0.000
4.535 0.000 2.357
3.204 4.364 2.004
3.207 6.708 4.361
3.207 2.019 4.361
3.204 4.364 6.718
```

Output
DOS at the Fermi energy (states/eV/f.u.): 11.91

It is two that is the least stable of them.

## one
Crystalline Dy5YSc2 at its relaxed geometry. Source: the Alexandria database, functional GGA-PBE.

```
Dy5YSc2
1.0
-5.065 -4.889 0.854
6.211 -0.723 3.346
-2.566 5.625 2.211
Dy Y Sc
5 1 2
Cartesian
-0.504 1.424 2.375
0.407 3.539 4.950
-5.231 1.454 3.705
0.068 -1.383 4.474
-0.172 -1.741 1.059
0.403 -4.545 3.159
2.617 1.071 4.056
-3.016 -1.018 2.800
```

Output
DOS at the Fermi energy (states/eV/f.u.): 14.66

## two
Crystalline Dy5YSc2 at its relaxed geometry. Source: the Alexandria database, functional GGA-PBE.

```
Dy5YSc2
1.0
8.823 0.000 0.000
0.000 8.823 0.000
-4.412 -4.412 6.166
Dy Y Sc
10 2 4
Cartesian
1.325 3.086 4.214
5.737 -1.325 1.953
0.000 0.000 0.000
4.412 4.412 0.000
-1.325 5.737 4.214
3.086 -1.325 4.214
5.737 1.325 4.214
1.325 5.737 1.953
-1.325 3.086 1.953
3.086 1.325 1.953
4.412 4.412 3.083
0.000 0.000 3.083
1.274 3.137 0.000
5.686 1.274 0.000
3.137 7.549 0.000
7.549 5.686 0.000
```

Output
DOS at the Fermi energy (states/eV/f.u.): 9.16

It is two that is the least stable of them.